No. 1
# Pr2ErMg3Pt2Au (PBE, optimized geometry)
# raw total energy	-4.620	eV/atom
# V	203.4	Å³/cell
# magnetization	0.00	μB/atom
data_Pr2ErMg3Pt2Au
_cell_length_a 4.105
_cell_length_b 7.555
_cell_length_c 7.555
_cell_angle_alpha 119.76
_cell_angle_beta 90.00
_cell_angle_gamma 90.00
_symmetry_space_group_name_H-M 'P 1'
_symmetry_Int_Tables_number 1
loop_
_symmetry_equiv_pos_as_xyz
'x,y,z'
loop_
_atom_site_label
_atom_site_type_symbol
_atom_site_fract_x
_atom_site_fract_y
_atom_site_fract_z
Pt1 Pt 0.500 0.654 0.336
Pt2 Pt 0.500 0.336 0.654
Pr1 Pr 0.000 0.001 0.582
Pr2 Pr 0.000 0.582 0.001
Er1 Er 0.000 0.415 0.415
Mg1 Mg 0.500 0.750 0.750
Mg2 Mg 0.500 0.005 0.249
Mg3 Mg 0.500 0.249 0.005
Au1 Au 0.000 0.008 0.008



No. 2
# PrTeCl (PBE, optimized geometry)
# raw total energy	-5.093	eV/atom
# V	167.6	Å³/cell
# magnetization	0.00	μB/atom
data_PrTeCl
_cell_length_a 4.501
_cell_length_b 4.501
_cell_length_c 8.275
_cell_angle_alpha 90.00
_cell_angle_beta 90.00
_cell_angle_gamma 90.00
_symmetry_space_group_name_H-M 'P 1'
_symmetry_Int_Tables_number 1
loop_
_symmetry_equiv_pos_as_xyz
'x,y,z'
loop_
_atom_site_label
_atom_site_type_symbol
_atom_site_fract_x
_atom_site_fract_y
_atom_site_fract_z
Pr1 Pr 0.500 0.000 0.240
Pr2 Pr 0.000 0.500 0.760
Te1 Te 0.000 0.500 0.365
Te2 Te 0.500 0.000 0.635
Cl1 Cl 0.000 0.000 0.000
Cl2 Cl 0.500 0.500 0.000



No. 3
# Co2Tc2W (PBE, optimized geometry)
# V	69.0	Å³/cell
# magnetization	0.00	μB/atom
# E_form	10.3	kcal/mol of atoms
data_Co2Tc2W
_cell_length_a 5.989
_cell_length_b 5.989
_cell_length_c 5.989
_cell_angle_alpha 145.39
_cell_angle_beta 145.39
_cell_angle_gamma 49.76
_symmetry_space_group_name_H-M 'P 1'
_symmetry_Int_Tables_number 1
loop_
_symmetry_equiv_pos_as_xyz
'x,y,z'
loop_
_atom_site_label
_atom_site_type_symbol
_atom_site_fract_x
_atom_site_fract_y
_atom_site_fract_z
W1 W 0.000 0.000 0.000
Co1 Co 0.404 0.404 0.000
Co2 Co 0.596 0.596 0.000
Tc1 Tc 0.750 0.250 0.500
Tc2 Tc 0.250 0.750 0.500



No. 4
# Pr3Sm3NiTe2 (PBE, optimized geometry)
# raw total energy	-5.175	eV/atom
# V	259.7	Å³/cell
# magnetization	0.00	μB/atom
data_Pr3Sm3NiTe2
_cell_length_a 8.713
_cell_length_b 8.713
_cell_length_c 3.950
_cell_angle_alpha 90.00
_cell_angle_beta 90.00
_cell_angle_gamma 120.00
_symmetry_space_group_name_H-M 'P 1'
_symmetry_Int_Tables_number 1
loop_
_symmetry_equiv_pos_as_xyz
'x,y,z'
loop_
_atom_site_label
_atom_site_type_symbol
_atom_site_fract_x
_atom_site_fract_y
_atom_site_fract_z
Sm1 Sm 0.000 0.587 0.000
Sm2 Sm 0.413 0.413 0.000
Sm3 Sm 0.587 0.000 0.000
Pr1 Pr 0.758 0.758 0.500
Pr2 Pr 0.242 0.000 0.500
Pr3 Pr 0.000 0.242 0.500
Te1 Te 0.333 0.667 0.500
Te2 Te 0.667 0.333 0.500
Ni1 Ni 0.000 0.000 0.000



No. 5
# BePtSO (PBE, optimized geometry)
# raw total energy	-5.058	eV/atom
# V	204.5	Å³/cell
# magnetization	0.00	μB/atom
data_BePtSO
_cell_length_a 5.785
_cell_length_b 7.784
_cell_length_c 4.542
_cell_angle_alpha 90.00
_cell_angle_beta 90.00
_cell_angle_gamma 90.00
_symmetry_space_group_name_H-M 'P 1'
_symmetry_Int_Tables_number 1
loop_
_symmetry_equiv_pos_as_xyz
'x,y,z'
loop_
_atom_site_label
_atom_site_type_symbol
_atom_site_fract_x
_atom_site_fract_y
_atom_site_fract_z
Pt1 Pt 0.605 0.169 0.383
Pt2 Pt 0.105 0.831 0.383
Pt3 Pt 0.395 0.831 0.883
Pt4 Pt 0.895 0.169 0.883
S1 S 0.029 0.273 0.373
S2 S 0.529 0.727 0.373
S3 S 0.471 0.273 0.873
S4 S 0.971 0.727 0.873
O1 O 0.391 0.454 0.865
O2 O 0.609 0.546 0.365
O3 O 0.891 0.546 0.865
O4 O 0.109 0.454 0.365
Be1 Be 0.254 0.079 0.129
Be2 Be 0.754 0.921 0.129
Be3 Be 0.246 0.079 0.629
Be4 Be 0.746 0.921 0.629



No. 6
# RbYTcSe3 (PBE, optimized geometry)
# raw total energy	-5.739	eV/atom
# V	336.4	Å³/cell
# magnetization	0.00	μB/atom
data_RbYTcSe3
_cell_length_a 8.016
_cell_length_b 8.016
_cell_length_c 10.617
_cell_angle_alpha 90.00
_cell_angle_beta 90.00
_cell_angle_gamma 150.46
_symmetry_space_group_name_H-M 'P 1'
_symmetry_Int_Tables_number 1
loop_
_symmetry_equiv_pos_as_xyz
'x,y,z'
loop_
_atom_site_label
_atom_site_type_symbol
_atom_site_fract_x
_atom_site_fract_y
_atom_site_fract_z
Rb1 Rb 0.747 0.253 0.750
Rb2 Rb 0.253 0.747 0.250
Se1 Se 0.067 0.933 0.750
Se2 Se 0.933 0.067 0.250
Se3 Se 0.621 0.379 0.432
Se4 Se 0.379 0.621 0.568
Se5 Se 0.621 0.379 0.068
Se6 Se 0.379 0.621 0.932
Tc1 Tc 0.520 0.480 0.250
Tc2 Tc 0.480 0.520 0.750
Y1 Y 0.000 0.000 0.500
Y2 Y 0.000 0.000 0.000



No. 7
# ErCdAu2 (PBE, optimized geometry)
# V	166.9	Å³/cell
# magnetization	0.00	μB/atom
# E_form	-15.7	kcal/mol of atoms
data_ErCdAu2
_cell_length_a 4.905
_cell_length_b 4.905
_cell_length_c 6.938
_cell_angle_alpha 90.00
_cell_angle_beta 90.00
_cell_angle_gamma 90.00
_symmetry_space_group_name_H-M 'P 1'
_symmetry_Int_Tables_number 1
loop_
_symmetry_equiv_pos_as_xyz
'x,y,z'
loop_
_atom_site_label
_atom_site_type_symbol
_atom_site_fract_x
_atom_site_fract_y
_atom_site_fract_z
Au1 Au 0.500 0.000 0.750
Au2 Au 0.500 0.000 0.250
Au3 Au 0.000 0.500 0.750
Au4 Au 0.000 0.500 0.250
Er1 Er 0.500 0.500 0.500
Er2 Er 0.000 0.000 0.000
Cd1 Cd 0.000 0.000 0.500
Cd2 Cd 0.500 0.500 0.000



No. 8
# P8Au (PBE, optimized geometry)
# raw total energy	-4.731	eV/atom
# V	162.0	Å³/cell
data_P8Au
_cell_length_a 8.667
_cell_length_b 8.667
_cell_length_c 2.491
_cell_angle_alpha 90.00
_cell_angle_beta 90.00
_cell_angle_gamma 120.00
_symmetry_space_group_name_H-M 'P 1'
_symmetry_Int_Tables_number 1
loop_
_symmetry_equiv_pos_as_xyz
'x,y,z'
loop_
_atom_site_label
_atom_site_type_symbol
_atom_site_fract_x
_atom_site_fract_y
_atom_site_fract_z
P1 P 0.181 0.819 0.000
P2 P 0.362 0.181 0.000
P3 P 0.638 0.819 0.000
P4 P 0.333 0.667 0.000
P5 P 0.819 0.638 0.000
P6 P 0.819 0.181 0.000
P7 P 0.667 0.333 0.000
P8 P 0.181 0.362 0.000
Au1 Au 0.000 0.000 0.500



No. 9
# NaZnCo (PBE, optimized geometry)
# raw total energy	-2.071	eV/atom
# V	59.8	Å³/cell
# magnetization	0.55	μB/atom
data_NaZnCo
_cell_length_a 4.388
_cell_length_b 4.388
_cell_length_c 4.388
_cell_angle_alpha 60.00
_cell_angle_beta 60.00
_cell_angle_gamma 60.00
_symmetry_space_group_name_H-M 'P 1'
_symmetry_Int_Tables_number 1
loop_
_symmetry_equiv_pos_as_xyz
'x,y,z'
loop_
_atom_site_label
_atom_site_type_symbol
_atom_site_fract_x
_atom_site_fract_y
_atom_site_fract_z
Zn1 Zn 0.750 0.750 0.750
Na1 Na 0.000 0.000 0.000
Co1 Co 0.250 0.250 0.250



No. 10
# Sc2ZnIr (PBE, optimized geometry)
# V	421.8	Å³/cell
# magnetization	0.00	μB/atom
# E_form	-16.8	kcal/mol of atoms
data_Sc2ZnIr
_cell_length_a 4.633
_cell_length_b 6.551
_cell_length_c 13.898
_cell_angle_alpha 90.00
_cell_angle_beta 90.00
_cell_angle_gamma 90.00
_symmetry_space_group_name_H-M 'P 1'
_symmetry_Int_Tables_number 1
loop_
_symmetry_equiv_pos_as_xyz
'x,y,z'
loop_
_atom_site_label
_atom_site_type_symbol
_atom_site_fract_x
_atom_site_fract_y
_atom_site_fract_z
Sc1 Sc 0.500 0.250 0.667
Sc2 Sc 0.000 0.250 0.833
Sc3 Sc 0.500 0.750 0.667
Sc4 Sc 0.000 0.750 0.167
Sc5 Sc 0.500 0.250 0.333
Sc6 Sc 0.500 0.750 0.333
Sc7 Sc 0.500 0.250 0.000
Sc8 Sc 0.000 0.750 0.500
Sc9 Sc 0.000 0.250 0.500
Sc10 Sc 0.000 0.750 0.833
Sc11 Sc 0.500 0.750 0.000
Sc12 Sc 0.000 0.250 0.167
Zn1 Zn 0.500 0.000 0.833
Zn2 Zn 0.000 0.500 0.000
Zn3 Zn 0.000 0.500 0.333
Zn4 Zn 0.500 0.000 0.500
Zn5 Zn 0.000 0.500 0.667
Zn6 Zn 0.500 0.000 0.167
Ir1 Ir 0.500 0.500 0.167
Ir2 Ir 0.500 0.500 0.500
Ir3 Ir 0.000 0.000 0.000
Ir4 Ir 0.000 0.000 0.333
Ir5 Ir 0.500 0.500 0.833
Ir6 Ir 0.000 0.000 0.667



No. 11
# Dy2GaSn (PBE, optimized geometry)
# raw total energy	-4.763	eV/atom
# V	205.9	Å³/cell
# magnetization	0.00	μB/atom
data_Dy2GaSn
_cell_length_a 6.005
_cell_length_b 4.145
_cell_length_c 8.688
_cell_angle_alpha 90.00
_cell_angle_beta 107.84
_cell_angle_gamma 90.00
_symmetry_space_group_name_H-M 'P 1'
_symmetry_Int_Tables_number 1
loop_
_symmetry_equiv_pos_as_xyz
'x,y,z'
loop_
_atom_site_label
_atom_site_type_symbol
_atom_site_fract_x
_atom_site_fract_y
_atom_site_fract_z
Sn1 Sn 0.625 0.250 0.790
Sn2 Sn 0.375 0.750 0.210
Ga1 Ga 0.122 0.250 0.293
Ga2 Ga 0.878 0.750 0.707
Dy1 Dy 0.198 0.250 0.925
Dy2 Dy 0.719 0.250 0.436
Dy3 Dy 0.802 0.750 0.075
Dy4 Dy 0.281 0.750 0.564



No. 12
# RbGdPO (PBE, optimized geometry)
# raw total energy	-4.936	eV/atom
# V	176.9	Å³/cell
# magnetization	0.00	μB/atom
data_RbGdPO
_cell_length_a 5.859
_cell_length_b 5.859
_cell_length_c 5.154
_cell_angle_alpha 90.00
_cell_angle_beta 90.00
_cell_angle_gamma 90.00
_symmetry_space_group_name_H-M 'P 1'
_symmetry_Int_Tables_number 1
loop_
_symmetry_equiv_pos_as_xyz
'x,y,z'
loop_
_atom_site_label
_atom_site_type_symbol
_atom_site_fract_x
_atom_site_fract_y
_atom_site_fract_z
Gd1 Gd 0.500 0.500 0.500
Gd2 Gd 0.000 0.000 0.500
O1 O 0.500 0.500 0.000
O2 O 0.000 0.000 0.000
Rb1 Rb 0.000 0.500 0.000
Rb2 Rb 0.500 0.000 0.000
P1 P 0.000 0.500 0.500
P2 P 0.500 0.000 0.500



No. 13
# GdReB4 (PBE, optimized geometry)
# raw total energy	-7.496	eV/atom
# V	60.9	Å³/cell
# magnetization	0.00	μB/atom
data_GdReB4
_cell_length_a 4.744
_cell_length_b 4.744
_cell_length_c 4.744
_cell_angle_alpha 141.07
_cell_angle_beta 110.59
_cell_angle_gamma 82.55
_symmetry_space_group_name_H-M 'P 1'
_symmetry_Int_Tables_number 1
loop_
_symmetry_equiv_pos_as_xyz
'x,y,z'
loop_
_atom_site_label
_atom_site_type_symbol
_atom_site_fract_x
_atom_site_fract_y
_atom_site_fract_z
B1 B 0.911 0.248 0.663
B2 B 0.415 0.752 0.663
B3 B 0.585 0.248 0.337
B4 B 0.089 0.752 0.337
Re1 Re 0.500 0.500 0.000
Gd1 Gd 0.000 0.000 0.000



No. 14
# RbHfAlTe3 (PBE, optimized geometry)
# raw total energy	-4.585	eV/atom
# V	386.2	Å³/cell
# magnetization	0.03	μB/atom
data_RbHfAlTe3
_cell_length_a 9.200
_cell_length_b 9.200
_cell_length_c 10.646
_cell_angle_alpha 90.00
_cell_angle_beta 90.00
_cell_angle_gamma 154.62
_symmetry_space_group_name_H-M 'P 1'
_symmetry_Int_Tables_number 1
loop_
_symmetry_equiv_pos_as_xyz
'x,y,z'
loop_
_atom_site_label
_atom_site_type_symbol
_atom_site_fract_x
_atom_site_fract_y
_atom_site_fract_z
Hf1 Hf 0.000 0.000 0.000
Hf2 Hf 0.000 0.000 0.500
Al1 Al 0.528 0.472 0.750
Al2 Al 0.472 0.528 0.250
Te1 Te 0.383 0.617 0.452
Te2 Te 0.383 0.617 0.048
Te3 Te 0.617 0.383 0.952
Te4 Te 0.925 0.075 0.750
Te5 Te 0.617 0.383 0.548
Te6 Te 0.075 0.925 0.250
Rb1 Rb 0.759 0.241 0.250
Rb2 Rb 0.241 0.759 0.750



No. 15
# IrOsNO (PBE, optimized geometry)
# raw total energy	-7.484	eV/atom
# V	86.5	Å³/cell
# magnetization	0.00	μB/atom
data_IrOsNO
_cell_length_a 3.711
_cell_length_b 3.711
_cell_length_c 6.279
_cell_angle_alpha 90.00
_cell_angle_beta 90.00
_cell_angle_gamma 90.00
_symmetry_space_group_name_H-M 'P 1'
_symmetry_Int_Tables_number 1
loop_
_symmetry_equiv_pos_as_xyz
'x,y,z'
loop_
_atom_site_label
_atom_site_type_symbol
_atom_site_fract_x
_atom_site_fract_y
_atom_site_fract_z
Os1 Os 0.750 0.750 0.823
Os2 Os 0.250 0.250 0.177
N1 N 0.250 0.250 0.688
N2 N 0.750 0.750 0.312
O1 O 0.250 0.750 0.000
O2 O 0.750 0.250 0.000
Ir1 Ir 0.250 0.750 0.500
Ir2 Ir 0.750 0.250 0.500



No. 16
# SrZnSn (PBE, optimized geometry)
# raw total energy	-2.696	eV/atom
# V	241.6	Å³/cell
data_SrZnSn
_cell_length_a 7.790
_cell_length_b 7.790
_cell_length_c 4.597
_cell_angle_alpha 90.00
_cell_angle_beta 90.00
_cell_angle_gamma 120.00
_symmetry_space_group_name_H-M 'P 1'
_symmetry_Int_Tables_number 1
loop_
_symmetry_equiv_pos_as_xyz
'x,y,z'
loop_
_atom_site_label
_atom_site_type_symbol
_atom_site_fract_x
_atom_site_fract_y
_atom_site_fract_z
Zn1 Zn 0.000 0.000 0.500
Zn2 Zn 0.667 0.333 0.000
Zn3 Zn 0.333 0.667 0.000
Sr1 Sr 0.000 0.600 0.500
Sr2 Sr 0.600 0.000 0.500
Sr3 Sr 0.400 0.400 0.500
Sn1 Sn 0.740 0.740 0.000
Sn2 Sn 0.000 0.260 0.000
Sn3 Sn 0.260 0.000 0.000



No. 17
# TbHgTe3Pb (PBE, optimized geometry)
# raw total energy	-3.615	eV/atom
# V	369.4	Å³/cell
# magnetization	0.00	μB/atom
data_TbHgTe3Pb
_cell_length_a 7.854
_cell_length_b 7.854
_cell_length_c 11.131
_cell_angle_alpha 90.00
_cell_angle_beta 90.00
_cell_angle_gamma 147.45
_symmetry_space_group_name_H-M 'P 1'
_symmetry_Int_Tables_number 1
loop_
_symmetry_equiv_pos_as_xyz
'x,y,z'
loop_
_atom_site_label
_atom_site_type_symbol
_atom_site_fract_x
_atom_site_fract_y
_atom_site_fract_z
Te1 Te 0.106 0.894 0.750
Te2 Te 0.894 0.106 0.250
Te3 Te 0.354 0.646 0.541
Te4 Te 0.646 0.354 0.041
Te5 Te 0.354 0.646 0.959
Te6 Te 0.646 0.354 0.459
Pb1 Pb 0.225 0.775 0.250
Pb2 Pb 0.775 0.225 0.750
Hg1 Hg 0.526 0.474 0.250
Hg2 Hg 0.474 0.526 0.750
Tb1 Tb 0.000 0.000 0.000
Tb2 Tb 0.000 0.000 0.500



No. 18
# Tc2IrPd (PBE, optimized geometry)
# V	59.7	Å³/cell
# magnetization	0.00	μB/atom
# E_form	7.2	kcal/mol of atoms
data_Tc2IrPd
_cell_length_a 4.387
_cell_length_b 4.387
_cell_length_c 4.387
_cell_angle_alpha 60.00
_cell_angle_beta 60.00
_cell_angle_gamma 60.00
_symmetry_space_group_name_H-M 'P 1'
_symmetry_Int_Tables_number 1
loop_
_symmetry_equiv_pos_as_xyz
'x,y,z'
loop_
_atom_site_label
_atom_site_type_symbol
_atom_site_fract_x
_atom_site_fract_y
_atom_site_fract_z
Pd1 Pd 0.500 0.500 0.500
Tc1 Tc 0.750 0.750 0.750
Tc2 Tc 0.000 0.000 0.000
Ir1 Ir 0.250 0.250 0.250



No. 19
# ScNiAgBi (PBE, optimized geometry)
# raw total energy	-4.805	eV/atom
# V	76.5	Å³/cell
# magnetization	0.00	μB/atom
data_ScNiAgBi
_cell_length_a 4.765
_cell_length_b 4.765
_cell_length_c 4.765
_cell_angle_alpha 60.00
_cell_angle_beta 60.00
_cell_angle_gamma 60.00
_symmetry_space_group_name_H-M 'P 1'
_symmetry_Int_Tables_number 1
loop_
_symmetry_equiv_pos_as_xyz
'x,y,z'
loop_
_atom_site_label
_atom_site_type_symbol
_atom_site_fract_x
_atom_site_fract_y
_atom_site_fract_z
Ni1 Ni 0.750 0.750 0.750
Sc1 Sc 0.250 0.250 0.250
Ag1 Ag 0.500 0.500 0.500
Bi1 Bi 0.000 0.000 0.000



No. 20
# Nd2Dy2CBr5 (PBE, optimized geometry)
# raw total energy	-5.062	eV/atom
# V	276.2	Å³/cell
# magnetization	0.02	μB/atom
data_Nd2Dy2CBr5
_cell_length_a 9.209
_cell_length_b 9.209
_cell_length_c 8.200
_cell_angle_alpha 103.27
_cell_angle_beta 103.27
_cell_angle_gamma 24.11
_symmetry_space_group_name_H-M 'P 1'
_symmetry_Int_Tables_number 1
loop_
_symmetry_equiv_pos_as_xyz
'x,y,z'
loop_
_atom_site_label
_atom_site_type_symbol
_atom_site_fract_x
_atom_site_fract_y
_atom_site_fract_z
C1 C 0.500 0.500 0.000
Dy1 Dy 0.999 0.999 0.201
Dy2 Dy 0.001 0.001 0.799
Br1 Br 0.166 0.166 0.812
Br2 Br 0.834 0.834 0.188
Br3 Br 0.500 0.500 0.500
Br4 Br 0.839 0.839 0.645
Br5 Br 0.161 0.161 0.355
Nd1 Nd 0.644 0.644 0.076
Nd2 Nd 0.356 0.356 0.924